DFT (PBE with a Hubbard U) results for a relaxed Pb5W2O12 crystal.

```
Pb5W2O12
1.0
6.4662 0.0000 0.0000
2.3145 6.3046 0.0000
0.4105 2.4829 8.0516
Pb W O
5 2 12
direct
0.0000 0.0000 0.0000
0.0466 0.7386 0.4781
0.4519 0.3151 0.2275
0.5481 0.6849 0.7725
0.9534 0.2614 0.5219
0.4530 0.2065 0.8165
0.5470 0.7935 0.1835
0.1664 0.4493 0.3861
0.2394 0.0937 0.7527
0.2821 0.5086 0.7272
0.3327 0.1239 0.0498
0.3587 0.6909 0.0728
0.3634 0.8456 0.3534
0.6366 0.1544 0.6466
0.6413 0.3091 0.9272
0.6673 0.8761 0.9502
0.7179 0.4914 0.2728
0.7606 0.9063 0.2473
0.8336 0.5507 0.6139
```

Values from the calculation:
- Total magnetic moment: 0.00 Bohr magnetons per cell
- Uncorrected energy: -6.2684 eV per atom
- Polymorph energy (0 for the lowest one): 0 meV per atom